Here is a relaxed SiTcMo crystal from Alexandria via LeMat-Bulk. Energies are from PBE.

Formation energy from raw total energies: -346 meV per atom
Magnetic moment: 0.00 μB per formula unit
Relative energy among the computed polymorphs: 0.027 eV/atom
VASP energy: -9.219 eV/atom
Symmetry: Fmmm

Cell: 5.9226 4.8964 4.7807 Å, 75.46 53.15 51.38°
Element x y z (fractional)
Si: 0.2500 0.2500 0.2500
Si: 0.7500 0.7500 0.7500
Tc: 0.1528 0.1528 0.8472
Tc: 0.8472 0.8472 0.1528
Mo: 0.3464 0.6536 0.3464
Mo: 0.6536 0.3464 0.6536



Here is a relaxed NbSb crystal from Alexandria via LeMat-Bulk. Energies are from PBE.

Formation energy from raw total energies: -4 meV per atom
Magnetic moment: 0.00 μB per formula unit
VASP energy: -7.100 eV/atom
Symmetry: Pmmn

Cell: 3.3001 5.3002 4.7474 Å, 90.00 90.00 90.00°
Element x y z (fractional)
Nb: 0.2500 0.2500 0.1165
Nb: 0.7500 0.7500 0.8835
Sb: 0.2500 0.7500 0.3742
Sb: 0.7500 0.2500 0.6258



Here is a relaxed SmCoSi3Ir crystal from Alexandria via LeMat-Bulk. Energies are from PBE.

Formation energy from raw total energies: -525 meV per atom
Magnetic moment: 0.00 μB per formula unit
VASP energy: -6.684 eV/atom
Symmetry: Cmcm

Cell: 6.9816 6.9816 5.6461 Å, 90.00 90.00 127.52°
Element x y z (fractional)
Sm: 0.2061 0.7939 0.7500
Sm: 0.7939 0.2061 0.2500
Co: 0.0396 0.9604 0.2500
Co: 0.9604 0.0396 0.7500
Si: 0.2073 0.7927 0.2500
Si: 0.2833 0.2833 0.0000
Si: 0.2833 0.2833 0.5000
Si: 0.7167 0.7167 0.0000
Si: 0.7167 0.7167 0.5000
Si: 0.7927 0.2073 0.7500
Ir: 0.3863 0.6137 0.2500
Ir: 0.6137 0.3863 0.7500